## KSmBr3 (GGA-PBE)

Data for a geometry-optimized KSmBr3 structure.

Structure (extended XYZ):
```
5
Lattice="5.755 0.000 0.000 0.000 5.755 0.000 0.000 0.000 5.755" Properties=species:S:1:pos:R:3 pbc="T T T"
K 2.878 2.878 2.878
Br 0.000 2.878 0.000
Br 0.000 0.000 2.878
Br 2.878 0.000 0.000
Sm 0.000 0.000 0.000
```

Calculated values
E_form (uncorrected): -1.541 eV per atom
Total energy: -3.7078 eV per atom
Symmetry: Pm-3m, No. 221
Calculated volume: 38.123 Å³/atom